Record 1
Material: Tb6Nd2HoTm
Method: DFT, PBE-GGA
State: optimized geometry

CIF file:
```
data_Tb6Nd2HoTm
_cell_length_a 9.035
_cell_length_b 15.083
_cell_length_c 9.707
_cell_angle_alpha 90.00
_cell_angle_beta 98.86
_cell_angle_gamma 90.00
_symmetry_space_group_name_H-M 'C 1 2/c 1'
_symmetry_Int_Tables_number 15
loop_
_symmetry_equiv_pos_as_xyz
'x,y,z'
'-x,-y,-z'
'-x,y,-z+1/2'
'x,-y,z+1/2'
'x+1/2,y+1/2,z'
'-x+1/2,-y+1/2,-z'
'-x+1/2,y+1/2,-z+1/2'
'x+1/2,-y+1/2,z+1/2'
loop_
_atom_site_label
_atom_site_type_symbol
_atom_site_fract_x
_atom_site_fract_y
_atom_site_fract_z
_atom_site_occupancy
Tb1 Tb 0.064 0.190 0.443 1
Tb2 Tb 0.103 0.395 0.620 1
Tb3 Tb 0.202 0.222 0.812 1
Nd1 Nd 0.246 0.052 0.042 1
Ho1 Ho 0.000 0.018 0.750 1
Tm1 Tm 0.000 0.407 0.250 1
```

Output
E: -4.52 eV per atom
Density of states at the Fermi level: 54.18 states/eV/cell
Total moment: 0.000 μB per atom
Mass density: 8.01 g/cm³


Record 2
Material: TbNdHo2Tm5
Method: DFT, PBE-GGA
State: optimized geometry

CIF file:
```
data_TbNdHo2Tm5
_cell_length_a 5.555
_cell_length_b 19.630
_cell_length_c 10.498
_cell_angle_alpha 90.00
_cell_angle_beta 90.00
_cell_angle_gamma 90.00
_symmetry_space_group_name_H-M 'C m c 21'
_symmetry_Int_Tables_number 36
loop_
_symmetry_equiv_pos_as_xyz
'x,y,z'
'-x,-y,z+1/2'
'-x,y,z'
'x,-y,z+1/2'
'x+1/2,y+1/2,z'
'-x+1/2,-y+1/2,z+1/2'
'-x+1/2,y+1/2,z'
'x+1/2,-y+1/2,z+1/2'
loop_
_atom_site_label
_atom_site_type_symbol
_atom_site_fract_x
_atom_site_fract_y
_atom_site_fract_z
_atom_site_occupancy
Tb1 Tb 0.000 0.201 0.000 1
Nd1 Nd 0.000 0.417 0.440 1
Ho1 Ho 0.000 0.111 0.723 1
Ho2 Ho 0.000 0.113 0.307 1
Tm1 Tm 0.000 0.018 0.014 1
Tm2 Tm 0.000 0.281 0.299 1
Tm3 Tm 0.000 0.299 0.698 1
Tm4 Tm 0.000 0.389 0.010 1
Tm5 Tm 0.000 0.479 0.724 1
```

Output
E: -4.38 eV per atom
Density of states at the Fermi level: 55.97 states/eV/cell
Total moment: 0.000 μB per atom
Mass density: 8.57 g/cm³


Record 3
Material: TbNd3HoTm
Method: DFT, PBE-GGA
State: optimized geometry

CIF file:
```
data_TbNd3HoTm
_cell_length_a 5.083
_cell_length_b 15.322
_cell_length_c 10.186
_cell_angle_alpha 90.00
_cell_angle_beta 90.00
_cell_angle_gamma 90.00
_symmetry_space_group_name_H-M 'C m c m'
_symmetry_Int_Tables_number 63
_symmetry_space_group_name_Hall '-C 2c 2'
loop_
_atom_site_label
_atom_site_type_symbol
_atom_site_fract_x
_atom_site_fract_y
_atom_site_fract_z
_atom_site_occupancy
Tb1 Tb 0.000 0.000 0.000 1
Nd1 Nd 0.000 0.166 0.250 1
Nd2 Nd 0.000 0.335 0.000 1
Ho1 Ho 0.000 0.498 0.250 1
Tm1 Tm 0.000 0.165 0.750 1
```

Output
E: -4.64 eV per atom
Density of states at the Fermi level: 34.48 states/eV/cell
Total moment: 0.000 μB per atom
Mass density: 7.75 g/cm³


Record 4
Material: Tb4Nd2HoTm2
Method: DFT, PBE-GGA
State: optimized geometry

CIF file:
```
data_Tb4Nd2HoTm2
_cell_length_a 6.169
_cell_length_b 6.176
_cell_length_c 7.974
_cell_angle_alpha 82.65
_cell_angle_beta 75.12
_cell_angle_gamma 80.43
_symmetry_space_group_name_H-M 'P -1'
_symmetry_Int_Tables_number 2
loop_
_symmetry_equiv_pos_as_xyz
'x,y,z'
'-x,-y,-z'
loop_
_atom_site_label
_atom_site_type_symbol
_atom_site_fract_x
_atom_site_fract_y
_atom_site_fract_z
_atom_site_occupancy
Tb1 Tb 0.056 0.111 0.278 1
Tb2 Tb 0.278 0.554 0.388 1
Nd1 Nd 0.168 0.331 0.833 1
Ho1 Ho 0.500 0.000 0.500 1
Tm1 Tm 0.391 0.777 0.945 1
```

Output
E: -4.60 eV per atom
Density of states at the Fermi level: 11.79 states/eV/cell
Total moment: 0.000 μB per atom
Mass density: 8.22 g/cm³


Record 5
Material: Tb6Nd2HoTm3
Method: DFT, PBE-GGA
State: optimized geometry

CIF file:
```
data_Tb6Nd2HoTm3
_cell_length_a 6.166
_cell_length_b 10.673
_cell_length_c 11.792
_cell_angle_alpha 90.00
_cell_angle_beta 99.99
_cell_angle_gamma 90.00
_symmetry_space_group_name_H-M 'C 1 2/m 1'
_symmetry_Int_Tables_number 12
loop_
_symmetry_equiv_pos_as_xyz
'x,y,z'
'-x,-y,-z'
'-x,y,-z'
'x,-y,z'
'x+1/2,y+1/2,z'
'-x+1/2,-y+1/2,-z'
'-x+1/2,y+1/2,-z'
'x+1/2,-y+1/2,z'
loop_
_atom_site_label
_atom_site_type_symbol
_atom_site_fract_x
_atom_site_fract_y
_atom_site_fract_z
_atom_site_occupancy
Tb1 Tb 0.247 0.000 0.246 1
Tb2 Tb 0.248 0.334 0.246 1
Nd1 Nd 0.000 0.333 0.500 1
Ho1 Ho 0.000 0.000 0.500 1
Tm1 Tm 0.000 0.166 0.000 1
Tm2 Tm 0.000 0.500 0.000 1
```

Output
E: -4.59 eV per atom
Density of states at the Fermi level: 31.36 states/eV/cell
Total moment: 0.000 μB per atom
Mass density: 8.32 g/cm³


Record 6
Material: TbNd5HoTm2
Method: DFT, PBE-GGA
State: optimized geometry

CIF file:
```
data_TbNd5HoTm2
_cell_length_a 5.634
_cell_length_b 20.377
_cell_length_c 10.710
_cell_angle_alpha 90.00
_cell_angle_beta 90.00
_cell_angle_gamma 90.00
_symmetry_space_group_name_H-M 'C m c 21'
_symmetry_Int_Tables_number 36
loop_
_symmetry_equiv_pos_as_xyz
'x,y,z'
'-x,-y,z+1/2'
'-x,y,z'
'x,-y,z+1/2'
'x+1/2,y+1/2,z'
'-x+1/2,-y+1/2,z+1/2'
'-x+1/2,y+1/2,z'
'x+1/2,-y+1/2,z+1/2'
loop_
_atom_site_label
_atom_site_type_symbol
_atom_site_fract_x
_atom_site_fract_y
_atom_site_fract_z
_atom_site_occupancy
Tb1 Tb 0.000 0.199 0.000 1
Nd1 Nd 0.000 0.016 0.007 1
Nd2 Nd 0.000 0.280 0.301 1
Nd3 Nd 0.000 0.298 0.696 1
Nd4 Nd 0.000 0.386 0.010 1
Nd5 Nd 0.000 0.483 0.732 1
Ho1 Ho 0.000 0.409 0.450 1
Tm1 Tm 0.000 0.112 0.729 1
Tm2 Tm 0.000 0.114 0.298 1
```

Output
E: -4.52 eV per atom
Density of states at the Fermi level: 57.94 states/eV/cell
Total moment: 0.000 μB per atom
Mass density: 7.47 g/cm³


Record 7
Material: Tb2Nd2Ho4Tm
Method: DFT, PBE-GGA
State: optimized geometry

CIF file:
```
data_Tb2Nd2Ho4Tm
_cell_length_a 18.647
_cell_length_b 3.594
_cell_length_c 9.552
_cell_angle_alpha 90.00
_cell_angle_beta 115.70
_cell_angle_gamma 90.00
_symmetry_space_group_name_H-M 'C 1 2/m 1'
_symmetry_Int_Tables_number 12
loop_
_symmetry_equiv_pos_as_xyz
'x,y,z'
'-x,-y,-z'
'-x,y,-z'
'x,-y,z'
'x+1/2,y+1/2,z'
'-x+1/2,-y+1/2,-z'
'-x+1/2,y+1/2,-z'
'x+1/2,-y+1/2,z'
loop_
_atom_site_label
_atom_site_type_symbol
_atom_site_fract_x
_atom_site_fract_y
_atom_site_fract_z
_atom_site_occupancy
Tb1 Tb 0.147 0.000 0.163 1
Nd1 Nd 0.165 0.500 0.500 1
Ho1 Ho 0.019 0.500 0.834 1
Ho2 Ho 0.185 0.000 0.836 1
Tm1 Tm 0.000 0.000 0.500 1
```

Output
E: -4.62 eV per atom
Density of states at the Fermi level: 24.36 states/eV/cell
Total moment: 0.000 μB per atom
Mass density: 8.26 g/cm³


Record 8
Material: TbNdHoTm2
Method: DFT, PBE-GGA
State: optimized geometry

CIF file:
```
data_TbNdHoTm2
_cell_length_a 8.350
_cell_length_b 11.422
_cell_length_c 7.170
_cell_angle_alpha 90.00
_cell_angle_beta 90.00
_cell_angle_gamma 90.00
_symmetry_space_group_name_H-M 'C m c m'
_symmetry_Int_Tables_number 63
_symmetry_space_group_name_Hall '-C 2c 2'
loop_
_atom_site_label
_atom_site_type_symbol
_atom_site_fract_x
_atom_site_fract_y
_atom_site_fract_z
_atom_site_occupancy
Tb1 Tb 0.000 0.001 0.250 1
Nd1 Nd 0.000 0.273 0.250 1
Ho1 Ho 0.000 0.279 0.750 1
Tm1 Tm 0.188 0.500 0.000 1
```

Output
E: -4.20 eV per atom
Density of states at the Fermi level: 27.91 states/eV/cell
Total moment: 0.000 μB per atom
Mass density: 7.83 g/cm³


Record 9
Material: TbNd2Ho2Tm
Method: DFT, PBE-GGA
State: optimized geometry

CIF file:
```
data_TbNd2Ho2Tm
_cell_length_a 7.005
_cell_length_b 5.645
_cell_length_c 9.777
_cell_angle_alpha 90.00
_cell_angle_beta 90.00
_cell_angle_gamma 90.00
_symmetry_space_group_name_H-M 'P m m a'
_symmetry_Int_Tables_number 51
loop_
_symmetry_equiv_pos_as_xyz
'x,y,z'
'-x,-y,-z'
'-x+1/2,-y,z'
'x+1/2,y,-z'
'x+1/2,-y,-z'
'-x+1/2,y,z'
'-x,y,-z'
'x,-y,z'
loop_
_atom_site_label
_atom_site_type_symbol
_atom_site_fract_x
_atom_site_fract_y
_atom_site_fract_z
_atom_site_occupancy
Tb1 Tb 0.250 0.000 0.157 1
Nd1 Nd 0.000 0.000 0.500 1
Nd2 Nd 0.250 0.500 0.679 1
Ho1 Ho 0.250 0.000 0.832 1
Ho2 Ho 0.250 0.500 0.337 1
Tm1 Tm 0.000 0.500 0.000 1
```

Output
E: -4.57 eV per atom
Density of states at the Fermi level: 18.38 states/eV/cell
Total moment: 0.000 μB per atom
Mass density: 8.13 g/cm³


Record 10
Material: TbNdHoTm
Method: DFT, PBE-GGA
State: optimized geometry

CIF file:
```
data_TbNdHoTm
_cell_length_a 8.032
_cell_length_b 8.032
_cell_length_c 8.032
_cell_angle_alpha 90.00
_cell_angle_beta 90.00
_cell_angle_gamma 90.00
_symmetry_space_group_name_H-M 'F -4 3 m'
_symmetry_Int_Tables_number 216
_symmetry_space_group_name_Hall 'F -4 2 3'
loop_
_atom_site_label
_atom_site_type_symbol
_atom_site_fract_x
_atom_site_fract_y
_atom_site_fract_z
_atom_site_occupancy
Tb1 Tb 0.000 0.000 0.000 1
Nd1 Nd 0.000 0.000 0.500 1
Ho1 Ho 0.250 0.250 0.250 1
Tm1 Tm 0.250 0.250 0.750 1
```

Output
Density of states at the Fermi level: 29.73 states/eV/cell
Total moment: 0.000 μB per atom
Mass density: 8.17 g/cm³
Distance to the lowest polymorph of the same formula: 0.0000 eV/atom


Q: The lowest mass density belongs to which entry?
A: TbNd5HoTm2